## Ba2NiCCl (PBE-GGA)

Data for a relaxed Ba2NiCCl crystal. Values from VASP.

spin magnetization: 0.41 μB per formula unit
energy above the most stable polymorph in this dataset: 30.03 kcal/mol of atoms
SG: P4/mmm (123)
raw formation energy: 0.676 eV/atom
density of states at the Fermi level: 1.11 states/eV/atom
final energy: -3.46 eV/atom

The structure in Quantum ESPRESSO input format:
```
&SYSTEM
  ibrav = 0, nat = 5, ntyp = 4
/
ATOMIC_SPECIES
Ba 137.33 Ba.upf
Ni 58.69 Ni.upf
C 12.01 C.upf
Cl 35.45 Cl.upf
CELL_PARAMETERS angstrom
5.868 0.000 0.000
0.000 5.868 0.000
0.000 0.000 4.224
ATOMIC_POSITIONS crystal
Ba 0.000 0.500 0.000
Ba 0.500 0.000 0.000
Ni 0.000 0.000 0.500
C 0.500 0.500 0.500
Cl 0.500 0.500 0.000
```


## DyYEr2Sc (PBE-GGA)

Data for a relaxed DyYEr2Sc crystal. Values from VASP.

spin magnetization: 0.00 μB per formula unit
SG: Cmcm (63)
density of states at the Fermi level: 1.29 states/eV/atom
final energy: -4.96 eV/atom

The structure in Quantum ESPRESSO input format:
```
&SYSTEM
  ibrav = 0, nat = 10, ntyp = 4
/
ATOMIC_SPECIES
Dy 162.50 Dy.upf
Y 88.91 Y.upf
Er 167.26 Er.upf
Sc 44.96 Sc.upf
CELL_PARAMETERS angstrom
4.050 -5.583 0.000
4.050 5.583 0.000
0.000 0.000 7.046
ATOMIC_POSITIONS crystal
Dy 0.224 0.776 0.750
Dy 0.776 0.224 0.250
Y 0.236 0.764 0.250
Y 0.764 0.236 0.750
Er 0.197 0.197 0.000
Er 0.197 0.197 0.500
Er 0.803 0.803 0.000
Er 0.803 0.803 0.500
Sc 0.491 0.509 0.750
Sc 0.509 0.491 0.250
```


## SrLi3Pd (PBE-GGA)

Data for a relaxed SrLi3Pd crystal. Values from VASP.

spin magnetization: 0.00 μB per formula unit
energy above the most stable polymorph in this dataset: 2.14 kcal/mol of atoms
SG: P6_3/mmc (194)
density of states at the Fermi level: 0.45 states/eV/atom
final energy: -2.67 eV/atom

The structure in Quantum ESPRESSO input format:
```
&SYSTEM
  ibrav = 0, nat = 10, ntyp = 3
/
ATOMIC_SPECIES
Sr 87.62 Sr.upf
Li 6.94 Li.upf
Pd 106.42 Pd.upf
CELL_PARAMETERS angstrom
6.818 0.000 0.000
-3.409 5.904 0.000
0.000 0.000 5.897
ATOMIC_POSITIONS crystal
Sr 0.333 0.667 0.250
Sr 0.667 0.333 0.750
Li 0.174 0.347 0.750
Li 0.174 0.826 0.750
Li 0.347 0.174 0.250
Li 0.653 0.826 0.750
Li 0.826 0.174 0.250
Li 0.826 0.653 0.250
Pd 0.000 0.000 0.000
Pd 0.000 0.000 0.500
```